A plane-wave DFT calculation with PBE with a Hubbard U was carried out for an optimized crystal structure of Li3Ti4VO8.

Lattice parameters (Å, degrees): 5.945 5.945 6.006 59.62 59.62 59.26
Site moments in Bohr magnetons follow the coordinates.
Fractional coordinates of all 16 atoms:
1 Li 0.000 0.500 0.000  0.00
2 Li 0.000 0.000 0.000  0.00
3 Li 0.500 0.000 0.000  0.00
4 Ti 0.500 0.500 0.000  -0.16
5 Ti 0.000 0.000 0.500  -0.27
6 Ti 0.000 0.500 0.500  0.27
7 Ti 0.500 0.000 0.500  0.27
8 V 0.500 0.500 0.500  2.41
9 O 0.250 0.250 0.242  0.01
10 O 0.752 0.246 0.755  0.01
11 O 0.249 0.249 0.734  0.01
12 O 0.754 0.248 0.245  0.01
13 O 0.246 0.752 0.755  0.01
14 O 0.751 0.751 0.266  0.01
15 O 0.248 0.754 0.245  0.01
16 O 0.750 0.750 0.758  0.01

Computed properties:
uncorrected energy	-123.997	eV/cell
crystal system	monoclinic
SG	C2/m, No. 12